{"formula": "SrZr2GeF", "functional": "PBE-GGA", "state": "optimized geometry", "lattice_angstrom": [[-1.2382, 0.2763, 4.4429], [-4.1031, -2.3831, -0.9953], [2.1271, -4.0143, 0.8425]], "species": ["Sr", "Ge", "Zr", "Zr", "F"], "frac_coords": [[0.0000, 0.5000, 0.0000], [0.5000, 0.5000, 0.5000], [0.0000, 0.0000, 0.5000], [0.5000, 0.0000, 0.0000], [0.0000, 0.0000, 0.0000]], "volume_a3_per_fu": 103.5, "final_energy_ev_per_cell": -28.077, "dos_at_fermi_per_ev_cell": 4.7, "e_form_raw_mev_per_atom": -562}

=====

{"formula": "TaGeF3", "functional": "PBE-GGA", "state": "optimized geometry", "lattice_angstrom": [[-2.5647, 0.6374, 3.3458], [1.3887, -3.6286, 1.7558], [3.1100, 2.1459, 1.9751]], "species": ["Ge", "F", "F", "F", "Ta"], "frac_coords": [[0.5000, 0.5000, 0.5000], [0.0000, 0.5000, 0.0000], [0.0000, 0.0000, 0.5000], [0.5000, 0.0000, 0.0000], [0.0000, 0.0000, 0.0000]], "e_above_lowest_polymorph_mev_per_atom": 0, "volume_a3_per_fu": 77.5, "final_energy_ev_per_cell": -28.358, "dos_at_fermi_per_ev_cell": 4.0, "e_form_raw_mev_per_atom": -1255}

=====

{"formula": "Ta2GeF", "functional": "PBE-GGA", "state": "optimized geometry", "lattice_angstrom": [[0.0000, 3.1225, 3.1225], [3.1225, 0.0000, 3.1225], [3.1225, 3.1225, 0.0000]], "species": ["Ge", "F", "Ta", "Ta"], "frac_coords": [[0.5000, 0.5000, 0.5000], [0.0000, 0.0000, 0.0000], [0.2500, 0.2500, 0.2500], [0.7500, 0.7500, 0.7500]], "e_above_lowest_polymorph_mev_per_atom": 0, "volume_a3_per_fu": 60.9, "final_energy_ev_per_cell": -31.564, "dos_at_fermi_per_ev_cell": 2.9, "e_form_raw_mev_per_atom": -342}

=====

{"formula": "TaGe2F", "functional": "PBE-GGA", "state": "optimized geometry", "lattice_angstrom": [[-7.0662, 0.0827, -1.2284], [0.2197, -6.9569, -1.7321], [-3.8389, -4.0355, 0.8704]], "species": ["Ge", "Ge", "Ge", "Ge", "F", "F", "Ta", "Ta"], "frac_coords": [[0.5869, 0.1250, 0.2500], [0.1631, 0.6250, 0.2500], [0.3750, 0.4131, 0.7500], [0.8750, 0.8369, 0.7500], [0.5000, 0.5000, 0.0000], [0.2500, 0.7500, 0.5000], [0.0000, 0.0000, 0.0000], [0.7500, 0.2500, 0.5000]], "e_above_lowest_polymorph_mev_per_atom": 0, "volume_a3_per_fu": 63.3, "final_energy_ev_per_cell": -46.628, "dos_at_fermi_per_ev_cell": 3.5, "e_form_raw_mev_per_atom": -89}

=====

{"formula": "TaGe3F", "functional": "PBE-GGA", "state": "optimized geometry", "lattice_angstrom": [[-3.5085, -2.2816, 1.3743], [1.6654, -3.6529, -1.8130], [2.0787, -0.9244, 3.7721]], "species": ["Ge", "Ge", "Ge", "F", "Ta"], "frac_coords": [[0.0000, 0.5000, 0.0000], [0.0000, 0.0000, 0.5000], [0.5000, 0.0000, 0.0000], [0.0000, 0.0000, 0.0000], [0.5000, 0.5000, 0.5000]], "e_above_lowest_polymorph_mev_per_atom": 38, "volume_a3_per_fu": 85.5, "final_energy_ev_per_cell": -26.611, "dos_at_fermi_per_ev_cell": 4.0, "e_form_raw_mev_per_atom": 193}

=====

{"formula": "Ta2GeF", "functional": "PBE-GGA", "state": "optimized geometry", "lattice_angstrom": [[-3.9362, 0.4822, -5.3042], [-5.2948, -1.0679, 3.8321], [-4.8641, 2.5191, -0.2959]], "species": ["Ge", "Ge", "F", "F", "Ta", "Ta", "Ta", "Ta"], "frac_coords": [[0.0000, 0.0000, 0.0000], [0.7500, 0.2500, 0.5000], [0.5000, 0.5000, 0.0000], [0.2500, 0.7500, 0.5000], [0.5583, 0.1250, 0.2500], [0.1917, 0.6250, 0.2500], [0.3750, 0.4417, 0.7500], [0.8750, 0.8083, 0.7500]], "e_above_lowest_polymorph_mev_per_atom": 69, "volume_a3_per_fu": 62.7, "final_energy_ev_per_cell": -62.574, "dos_at_fermi_per_ev_cell": 7.5, "e_form_raw_mev_per_atom": -273}

=====

{"formula": "TaGeF3", "functional": "PBE-GGA", "state": "optimized geometry", "lattice_angstrom": [[-2.1092, -2.8532, 2.6220], [2.9842, -3.1003, -0.9730], [2.4718, 1.3083, 3.4122]], "species": ["Ge", "F", "F", "F", "Ta"], "frac_coords": [[0.0000, 0.0000, 0.0000], [0.0000, 0.5000, 0.0000], [0.0000, 0.0000, 0.5000], [0.5000, 0.0000, 0.0000], [0.5000, 0.5000, 0.5000]], "e_above_lowest_polymorph_mev_per_atom": 825, "volume_a3_per_fu": 85.9, "final_energy_ev_per_cell": -24.234, "dos_at_fermi_per_ev_cell": 8.9, "e_form_raw_mev_per_atom": -430}

=====

{"formula": "TaGe3F", "functional": "PBE-GGA", "state": "optimized geometry", "lattice_angstrom": [[-1.6145, -4.0514, -2.4435], [4.7102, -1.6195, -0.4271], [-0.4454, -2.4402, 4.3403]], "species": ["Ge", "Ge", "Ge", "F", "Ta"], "frac_coords": [[0.0000, 0.5000, 0.0000], [0.0000, 0.0000, 0.5000], [0.5000, 0.0000, 0.0000], [0.5000, 0.5000, 0.5000], [0.0000, 0.0000, 0.0000]], "e_above_lowest_polymorph_mev_per_atom": 0, "volume_a3_per_fu": 124.9, "final_energy_ev_per_cell": -26.799, "dos_at_fermi_per_ev_cell": 3.6, "e_form_raw_mev_per_atom": 155}

=====

{"formula": "TaGe2F", "functional": "PBE-GGA", "state": "optimized geometry", "lattice_angstrom": [[-1.3363, -2.1093, 3.7787], [-4.4159, -0.4895, 0.8794], [-1.9185, -4.0952, -0.2500]], "species": ["Ge", "Ge", "F", "Ta"], "frac_coords": [[0.2500, 0.2500, 0.2500], [0.7500, 0.7500, 0.7500], [0.0000, 0.0000, 0.0000], [0.5000, 0.5000, 0.5000]], "e_above_lowest_polymorph_mev_per_atom": 103, "volume_a3_per_fu": 65.7, "final_energy_ev_per_cell": -22.900, "dos_at_fermi_per_ev_cell": 5.2, "e_form_raw_mev_per_atom": 15}

=====

{"formula": "Ta3GeF", "functional": "PBE-GGA", "state": "optimized geometry", "lattice_angstrom": [[4.2987, 0.0000, 0.0000], [0.0000, 4.2987, 0.0000], [0.0000, 0.0000, 4.2987]], "species": ["Ge", "F", "Ta", "Ta", "Ta"], "frac_coords": [[0.5000, 0.5000, 0.5000], [0.0000, 0.0000, 0.0000], [0.0000, 0.5000, 0.0000], [0.0000, 0.0000, 0.5000], [0.5000, 0.0000, 0.0000]], "e_above_lowest_polymorph_mev_per_atom": 0, "volume_a3_per_fu": 79.4, "final_energy_ev_per_cell": -41.079, "dos_at_fermi_per_ev_cell": 1.4, "e_form_raw_mev_per_atom": 193}